{"formula": "AcCd", "functional": "PBE", "state": "relaxed", "lattice_angstrom": [[3.807, 0.000, 0.000], [-1.904, 3.297, 0.000], [0.000, 0.000, 5.417]], "species": ["Ac", "Cd"], "fractional_positions": [[0.667, 0.333, 0.750], [0.333, 0.667, 0.250]], "total_magnetization_mub_per_atom": 0.009, "total_energy_ev_per_atom": -2.588, "ef_ev_per_atom": -0.09, "sg": "P-6m2, No. 187"}